Entry 1:
Below is a relaxed structure of K2NaTl, with properties calculated at the PBE level.

abc: 5.833 5.833 5.146
angles: 90.00 90.00 90.00
Space group P4/mmm (No. 123)
Asymmetric unit:
K 0.000 0.500 0.000 (multiplicity 2)
Na 0.000 0.000 0.500 (multiplicity 1)
Tl 0.500 0.500 0.500 (multiplicity 1)

The calculation puts the formation energy from the elements at 0.001 eV per atom. As for the energy above the most stable polymorph in this dataset: 0.16 eV/f.u.

Entry 2:
Below is a relaxed structure of KNa3Tl5, with properties calculated at the PBE level.

abc: 9.6901 9.6901 6.8957
angles: 90.00 90.00 120.00
Space group P6_3/mcm (No. 193)
Asymmetric unit:
K 0.0000 0.0000 0.0000 (multiplicity 2)
Na 0.0000 0.3463 0.2500 (multiplicity 6)
Tl 0.0000 0.3391 0.7500 (multiplicity 6)
Tl 0.3333 0.6667 0.0000 (multiplicity 4)

The calculation puts the formation energy from the elements at -0.052 eV per atom.

Entry 3:
Below is a relaxed structure of K2NaTl, with properties calculated at the PBE level.

abc: 13.381 5.496 11.292
angles: 90.00 114.30 90.00
Space group Cm (No. 8)
Asymmetric unit:
K 0.000 0.000 0.000 (multiplicity 2)
K 0.035 0.000 0.445 (multiplicity 2)
K 0.104 0.500 0.761 (multiplicity 2)
K 0.330 0.000 0.143 (multiplicity 2)
Na 0.194 0.500 0.311 (multiplicity 2)
Na 0.313 0.000 0.758 (multiplicity 2)
Tl 0.331 0.000 0.470 (multiplicity 2)
Tl 0.353 0.500 0.630 (multiplicity 2)

The calculation puts the formation energy from the elements at -0.040 eV per atom. As for the energy above the most stable polymorph in this dataset: 0.00 eV/f.u.

Entry 4:
Below is a relaxed structure of K3Na2Tl9, with properties calculated at the PBE level.

abc: 5.299 11.351 15.830
angles: 90.00 90.00 90.00
Space group Immm (No. 71)
Asymmetric unit:
K 0.000 0.000 0.000 (multiplicity 2)
K 0.000 0.000 0.298 (multiplicity 4)
Na 0.000 0.190 0.500 (multiplicity 4)
Tl 0.000 0.282 0.134 (multiplicity 8)
Tl 0.000 0.358 0.328 (multiplicity 8)
Tl 0.000 0.500 0.000 (multiplicity 2)

The calculation puts the formation energy from the elements at -0.099 eV per atom.

Entry 5:
Below is a relaxed structure of KNa2Tl6, with properties calculated at the PBE level.

abc: 5.586 7.087 15.439
angles: 90.00 90.00 90.00
Space group Immm (No. 71)
Asymmetric unit:
K 0.000 0.000 0.000 (multiplicity 2)
Na 0.000 0.500 0.114 (multiplicity 4)
Tl 0.000 0.215 0.500 (multiplicity 4)
Tl 0.000 0.251 0.300 (multiplicity 8)

The calculation puts the formation energy from the elements at -0.011 eV per atom. As for the energy above the most stable polymorph in this dataset: 0.59 eV/f.u.

Entry 6:
Below is a relaxed structure of KNa9Tl2, with properties calculated at the PBE level.

abc: 11.4836 11.4836 3.8261
angles: 90.00 90.00 120.00
Space group P6/mmm (No. 191)
Asymmetric unit:
K 0.0000 0.0000 0.0000 (multiplicity 1)
Na 0.0000 0.5000 0.0000 (multiplicity 3)
Na 0.1944 0.3889 0.5000 (multiplicity 6)
Tl 0.3333 0.6667 0.0000 (multiplicity 2)

The calculation puts the formation energy from the elements at -0.035 eV per atom. As for the energy above the most stable polymorph in this dataset: 0.10 eV/f.u.

Entry 7:
Below is a relaxed structure of K3Na3Tl8, with properties calculated at the PBE level.

abc: 5.273 11.747 15.676
angles: 90.00 90.00 90.00
Space group Immm (No. 71)
Asymmetric unit:
K 0.000 0.000 0.000 (multiplicity 2)
K 0.000 0.000 0.300 (multiplicity 4)
Na 0.000 0.219 0.500 (multiplicity 4)
Na 0.000 0.500 0.000 (multiplicity 2)
Tl 0.000 0.276 0.133 (multiplicity 8)
Tl 0.000 0.361 0.322 (multiplicity 8)

The calculation puts the formation energy from the elements at -0.090 eV per atom.

Entry 8:
Below is a relaxed structure of KNa6Tl8, with properties calculated at the PBE level.

abc: 9.3983 9.3983 18.8127
angles: 90.00 90.00 120.00
Space group R-3 (No. 148, hexagonal axes)
Asymmetric unit:
K 0.0000 0.0000 0.0000 (multiplicity 3)
Na 0.0069 0.2385 0.3875 (multiplicity 18)
Tl 0.0000 0.0000 0.2261 (multiplicity 6)
Tl 0.0174 0.3038 0.8820 (multiplicity 18)

The calculation puts the formation energy from the elements at -0.064 eV per atom.